The following is a PBE-GGA calculation of SmGa3IrRu after structural relaxation, from Alexandria via LeMat-Bulk.

- Energy of formation from the pure elements: -0.356 eV/atom
- Theoretical density: 8.66 g cm⁻³
- Final energy: -0.209 Ha/atom
- Magnetization: 0.000 μB per atom

Structure (CIF):
```
data_SmGa3IrRu
_cell_length_a 7.980
_cell_length_b 10.721
_cell_length_c 5.854
_cell_angle_alpha 90.00
_cell_angle_beta 90.00
_cell_angle_gamma 90.00
_space_group_name_H-M_alt 'C m c m'
_space_group_IT_number 63
_space_group_name_Hall '-C 2c 2'
loop_
_atom_site_label
_atom_site_type_symbol
_atom_site_fract_x
_atom_site_fract_y
_atom_site_fract_z
Sm1 Sm 0.000 0.225 0.250
Ga1 Ga 0.000 0.273 0.750
Ga2 Ga 0.244 0.000 0.000
Ir1 Ir 0.000 0.492 0.750
Ru1 Ru 0.000 0.055 0.750
```

The following is a PBE-GGA calculation of Ba2ThN2Cl2 after structural relaxation, from Alexandria via LeMat-Bulk.

- Raw formation energy: -1154 kJ/mol of formula units
- Theoretical density: 5.56 g cm⁻³
- Final energy: -0.229 Ha/atom
- Magnetization: 0.000 μB per atom

Structure (CIF):
```
data_Ba2ThN2Cl2
_cell_length_a 4.731
_cell_length_b 4.731
_cell_length_c 16.174
_cell_angle_alpha 90.00
_cell_angle_beta 90.00
_cell_angle_gamma 90.00
_space_group_name_H-M_alt 'I 4/m m m'
_space_group_IT_number 139
_space_group_name_Hall '-I 4 2'
loop_
_atom_site_label
_atom_site_type_symbol
_atom_site_fract_x
_atom_site_fract_y
_atom_site_fract_z
Ba1 Ba 0.000 0.000 0.112
Th1 Th 0.000 0.000 0.500
N1 N 0.000 0.500 0.000
Cl1 Cl 0.000 0.000 0.318
```

The following is a PBE-GGA calculation of ErPuRu after structural relaxation, from Alexandria via LeMat-Bulk.

- Energy of formation from the pure elements: -0.170 eV/atom
- Theoretical density: 12.27 g cm⁻³
- Final energy: -0.351 Ha/atom
- Magnetization: 1.857 μB per atom

Structure (CIF):
```
data_ErPuRu
_cell_length_a 3.336
_cell_length_b 3.336
_cell_length_c 12.468
_cell_angle_alpha 90.00
_cell_angle_beta 90.00
_cell_angle_gamma 90.00
_space_group_name_H-M_alt 'I 4 m m'
_space_group_IT_number 107
_space_group_name_Hall 'I 4 -2'
loop_
_atom_site_label
_atom_site_type_symbol
_atom_site_fract_x
_atom_site_fract_y
_atom_site_fract_z
Er1 Er 0.000 0.000 0.000
Pu1 Pu 0.000 0.000 0.272
Ru1 Ru 0.000 0.000 0.635
```

The following is a PBE-GGA calculation of MgGa after structural relaxation, from Alexandria via LeMat-Bulk.

- Energy of formation from the pure elements: -0.153 eV/atom
- Theoretical density: 3.84 g cm⁻³
- Final energy: -0.091 Ha/atom
- Magnetization: 0.000 μB per atom

Structure (CIF):
```
data_MgGa
_cell_length_a 4.061
_cell_length_b 4.054
_cell_length_c 5.335
_cell_angle_alpha 90.00
_cell_angle_beta 112.37
_cell_angle_gamma 90.00
_space_group_name_H-M_alt 'P 1 21/m 1'
_space_group_IT_number 11
_space_group_name_Hall '-P 2yb'
loop_
_atom_site_label
_atom_site_type_symbol
_atom_site_fract_x
_atom_site_fract_y
_atom_site_fract_z
Mg1 Mg 0.139 0.250 0.279
Ga1 Ga 0.421 0.250 0.839
```

The following is a PBE-GGA calculation of Rb2LaPbS4 after structural relaxation, from Alexandria via LeMat-Bulk.

- Raw formation energy: -942 kJ/mol of formula units
- Theoretical density: 4.44 g cm⁻³
- Final energy: -0.169 Ha/atom
- Magnetization: 0.000 μB per atom

Structure (CIF):
```
data_Rb2LaPbS4
_cell_length_a 8.775
_cell_length_b 8.829
_cell_length_c 12.459
_cell_angle_alpha 90.00
_cell_angle_beta 90.00
_cell_angle_gamma 90.00
_space_group_name_H-M_alt 'I m m a'
_space_group_IT_number 74
_space_group_name_Hall '-I 2b 2'
loop_
_atom_site_label
_atom_site_type_symbol
_atom_site_fract_x
_atom_site_fract_y
_atom_site_fract_z
Rb1 Rb 0.000 0.000 0.000
Rb2 Rb 0.250 0.250 0.250
La1 La 0.250 0.250 0.750
Pb1 Pb 0.000 0.000 0.500
S1 S 0.000 0.033 0.735
S2 S 0.217 0.250 0.515
```

The following is a PBE-GGA calculation of MgZrRe2 after structural relaxation, from Alexandria via LeMat-Bulk.

- Energy of formation from the pure elements: 0.083 eV/atom
- Theoretical density: 11.52 g cm⁻³
- Final energy: -0.319 Ha/atom
- Magnetization: 0.000 μB per atom

Structure (CIF):
```
data_MgZrRe2
_cell_length_a 3.198
_cell_length_b 4.657
_cell_length_c 9.445
_cell_angle_alpha 90.00
_cell_angle_beta 90.00
_cell_angle_gamma 90.00
_space_group_name_H-M_alt 'I m m 2'
_space_group_IT_number 44
_space_group_name_Hall 'I 2 -2'
loop_
_atom_site_label
_atom_site_type_symbol
_atom_site_fract_x
_atom_site_fract_y
_atom_site_fract_z
Mg1 Mg 0.000 0.000 0.000
Zr1 Zr 0.000 0.500 0.220
Re1 Re 0.000 0.000 0.465
Re2 Re 0.000 0.500 0.755
```

The following is a PBE-GGA calculation of Ti7Sb2O2 after structural relaxation, from Alexandria via LeMat-Bulk.

- Raw formation energy: -906 kJ/mol of formula units
- Theoretical density: 5.43 g cm⁻³
- Final energy: -0.277 Ha/atom
- Magnetization: 0.001 μB per atom

Structure (CIF):
```
data_Ti7Sb2O2
_cell_length_a 9.170
_cell_length_b 9.344
_cell_length_c 4.803
_cell_angle_alpha 90.00
_cell_angle_beta 114.96
_cell_angle_gamma 90.00
_space_group_name_H-M_alt 'C 1 2/m 1'
_space_group_IT_number 12
_space_group_name_Hall '-C 2y'
loop_
_atom_site_label
_atom_site_type_symbol
_atom_site_fract_x
_atom_site_fract_y
_atom_site_fract_z
Ti1 Ti 0.000 0.000 0.000
Ti2 Ti 0.157 0.500 0.614
Ti3 Ti 0.178 0.339 0.164
Sb1 Sb 0.000 0.232 0.500
O1 O 0.218 0.000 0.952
```

The following is a PBE-GGA calculation of Tb2NdGe after structural relaxation, from Alexandria via LeMat-Bulk.

- Energy of formation from the pure elements: -0.329 eV/atom
- Theoretical density: 8.38 g cm⁻³
- Final energy: -0.183 Ha/atom
- Magnetization: 0.000 μB per atom

Structure (CIF):
```
data_Tb2NdGe
_cell_length_a 4.740
_cell_length_b 4.740
_cell_length_c 4.712
_cell_angle_alpha 90.00
_cell_angle_beta 90.00
_cell_angle_gamma 90.00
_space_group_name_H-M_alt 'P 4/m m m'
_space_group_IT_number 123
_space_group_name_Hall '-P 4 2'
loop_
_atom_site_label
_atom_site_type_symbol
_atom_site_fract_x
_atom_site_fract_y
_atom_site_fract_z
Tb1 Tb 0.000 0.500 0.000
Nd1 Nd 0.000 0.000 0.500
Ge1 Ge 0.500 0.500 0.500
```

The following is a PBE-GGA calculation of SiCl2F8 after structural relaxation, from Alexandria via LeMat-Bulk.

- Raw formation energy: -1683 kJ/mol of formula units
- Theoretical density: 2.47 g cm⁻³
- Final energy: -0.139 Ha/atom
- Magnetization: 0.051 μB per atom

Structure (CIF):
```
data_SiCl2F8
_cell_length_a 11.846
_cell_length_b 5.460
_cell_length_c 5.391
_cell_angle_alpha 90.00
_cell_angle_beta 104.28
_cell_angle_gamma 90.00
_space_group_name_H-M_alt 'C 1 2/m 1'
_space_group_IT_number 12
_space_group_name_Hall '-C 2y'
loop_
_atom_site_label
_atom_site_type_symbol
_atom_site_fract_x
_atom_site_fract_y
_atom_site_fract_z
Si1 Si 0.000 0.000 0.000
Cl1 Cl 0.242 0.500 0.544
F1 F 0.083 0.000 0.333
F2 F 0.088 0.215 0.931
F3 F 0.100 0.500 0.433
```

The following is a PBE-GGA calculation of AlGeAu after structural relaxation, from Alexandria via LeMat-Bulk.

- Energy of formation from the pure elements: -0.042 eV/atom
- Theoretical density: 8.58 g cm⁻³
- Final energy: -0.144 Ha/atom
- Magnetization: 0.000 μB per atom

Structure (CIF):
```
data_AlGeAu
_cell_length_a 7.727
_cell_length_b 4.408
_cell_length_c 6.739
_cell_angle_alpha 90.00
_cell_angle_beta 90.00
_cell_angle_gamma 90.00
_space_group_name_H-M_alt 'P n m a'
_space_group_IT_number 62
_space_group_name_Hall '-P 2ac 2n'
loop_
_atom_site_label
_atom_site_type_symbol
_atom_site_fract_x
_atom_site_fract_y
_atom_site_fract_z
Al1 Al 0.091 0.250 0.240
Ge1 Ge 0.155 0.750 0.028
Au1 Au 0.131 0.750 0.456
```

The following is a PBE-GGA calculation of KP2Pt after structural relaxation, from Alexandria via LeMat-Bulk.

- Energy of formation from the pure elements: 0.120 eV/atom
- Theoretical density: 5.90 g cm⁻³
- Final energy: -0.161 Ha/atom
- Magnetization: 0.000 μB per atom

Structure (CIF):
```
data_KP2Pt
_cell_length_a 3.239
_cell_length_b 3.521
_cell_length_c 7.309
_cell_angle_alpha 90.00
_cell_angle_beta 90.00
_cell_angle_gamma 90.00
_space_group_name_H-M_alt 'P m m 2'
_space_group_IT_number 25
_space_group_name_Hall 'P 2 -2'
loop_
_atom_site_label
_atom_site_type_symbol
_atom_site_fract_x
_atom_site_fract_y
_atom_site_fract_z
K1 K 0.000 0.000 0.000
P1 P 0.000 0.000 0.526
P2 P 0.500 0.500 0.304
Pt1 Pt 0.500 0.500 0.628
```

The following is a PBE-GGA calculation of TaSiNi after structural relaxation, from Alexandria via LeMat-Bulk.

- Raw formation energy: -110 kJ/mol of formula units
- Theoretical density: 10.73 g cm⁻³
- Final energy: -0.296 Ha/atom
- Magnetization: 0.000 μB per atom

Structure (CIF):
```
data_TaSiNi
_cell_length_a 10.134
_cell_length_b 2.845
_cell_length_c 7.052
_cell_angle_alpha 90.00
_cell_angle_beta 125.40
_cell_angle_gamma 90.00
_space_group_name_H-M_alt 'C 1 m 1'
_space_group_IT_number 8
_space_group_name_Hall 'C -2y'
loop_
_atom_site_label
_atom_site_type_symbol
_atom_site_fract_x
_atom_site_fract_y
_atom_site_fract_z
Ta1 Ta 0.000 0.000 0.000
Ta2 Ta 0.156 0.000 0.556
Si1 Si 0.210 0.500 0.929
Si2 Si 0.258 0.500 0.345
Ni1 Ni 0.387 0.000 0.225
Ni2 Ni 0.453 0.000 0.627
```

The following is a PBE-GGA calculation of La2TiS4 after structural relaxation, from Alexandria via LeMat-Bulk.

- Raw formation energy: -1239 kJ/mol of formula units
- Theoretical density: 4.78 g cm⁻³
- Final energy: -0.247 Ha/atom
- Magnetization: 0.060 μB per atom

Structure (CIF):
```
data_La2TiS4
_cell_length_a 4.614
_cell_length_b 4.614
_cell_length_c 14.816
_cell_angle_alpha 90.00
_cell_angle_beta 90.00
_cell_angle_gamma 90.00
_space_group_name_H-M_alt 'I 4/m m m'
_space_group_IT_number 139
_space_group_name_Hall '-I 4 2'
loop_
_atom_site_label
_atom_site_type_symbol
_atom_site_fract_x
_atom_site_fract_y
_atom_site_fract_z
La1 La 0.000 0.000 0.137
Ti1 Ti 0.000 0.000 0.500
S1 S 0.000 0.000 0.325
S2 S 0.000 0.500 0.000
```

The following is a PBE-GGA calculation of TaBrCl2 after structural relaxation, from Alexandria via LeMat-Bulk.

- Raw formation energy: -63 kJ/mol of formula units
- Theoretical density: 5.65 g cm⁻³
- Final energy: -0.164 Ha/atom
- Magnetization: 0.045 μB per atom

Structure (CIF):
```
data_TaBrCl2
_cell_length_a 3.040
_cell_length_b 6.270
_cell_length_c 10.231
_cell_angle_alpha 90.00
_cell_angle_beta 90.00
_cell_angle_gamma 90.00
_space_group_name_H-M_alt 'C m m 2'
_space_group_IT_number 35
_space_group_name_Hall 'C 2 -2'
loop_
_atom_site_label
_atom_site_type_symbol
_atom_site_fract_x
_atom_site_fract_y
_atom_site_fract_z
Ta1 Ta 0.000 0.000 0.000
Br1 Br 0.000 0.500 0.795
Cl1 Cl 0.000 0.000 0.499
Cl2 Cl 0.000 0.500 0.190
```

The following is a PBE-GGA calculation of Ca2MoPt after structural relaxation, from Alexandria via LeMat-Bulk.

- Energy of formation from the pure elements: 0.229 eV/atom
- Theoretical density: 6.90 g cm⁻³
- Final energy: -0.183 Ha/atom
- Magnetization: 0.785 μB per atom

Structure (CIF):
```
data_Ca2MoPt
_cell_length_a 4.813
_cell_length_b 4.813
_cell_length_c 3.858
_cell_angle_alpha 90.00
_cell_angle_beta 90.00
_cell_angle_gamma 90.00
_space_group_name_H-M_alt 'P 4/m m m'
_space_group_IT_number 123
_space_group_name_Hall '-P 4 2'
loop_
_atom_site_label
_atom_site_type_symbol
_atom_site_fract_x
_atom_site_fract_y
_atom_site_fract_z
Ca1 Ca 0.000 0.500 0.000
Mo1 Mo 0.000 0.000 0.500
Pt1 Pt 0.500 0.500 0.500
```

The following is a PBE-GGA calculation of LaNd12Sn4N3 after structural relaxation, from Alexandria via LeMat-Bulk.

- Raw formation energy: -1051 kJ/mol of formula units
- Theoretical density: 7.35 g cm⁻³
- Final energy: -0.210 Ha/atom
- Magnetization: 0.000 μB per atom

Structure (CIF):
```
data_LaNd12Sn4N3
_cell_length_a 10.255
_cell_length_b 10.255
_cell_length_c 10.255
_cell_angle_alpha 90.00
_cell_angle_beta 90.00
_cell_angle_gamma 90.00
_space_group_name_H-M_alt 'I m -3 m'
_space_group_IT_number 229
_space_group_name_Hall '-I 4 2 3'
loop_
_atom_site_label
_atom_site_type_symbol
_atom_site_fract_x
_atom_site_fract_y
_atom_site_fract_z
La1 La 0.000 0.000 0.000
Nd1 Nd 0.000 0.000 0.273
Nd2 Nd 0.000 0.250 0.500
Sn1 Sn 0.250 0.250 0.250
N1 N 0.000 0.000 0.500
```

The following is a PBE-GGA calculation of Li2LaP after structural relaxation, from Alexandria via LeMat-Bulk.

- Energy of formation from the pure elements: -0.483 eV/atom
- Theoretical density: 3.41 g cm⁻³
- Final energy: -0.148 Ha/atom
- Magnetization: 0.000 μB per atom

Structure (CIF):
```
data_Li2LaP
_cell_length_a 4.218
_cell_length_b 4.218
_cell_length_c 20.136
_cell_angle_alpha 90.00
_cell_angle_beta 90.00
_cell_angle_gamma 90.00
_space_group_name_H-M_alt 'I -4 2 d'
_space_group_IT_number 122
_space_group_name_Hall 'I -4 2bw'
loop_
_atom_site_label
_atom_site_type_symbol
_atom_site_fract_x
_atom_site_fract_y
_atom_site_fract_z
Li1 Li 0.164 0.250 0.125
La1 La 0.000 0.000 0.500
P1 P 0.000 0.000 0.000
```

The following is a PBE-GGA calculation of La2CrBr after structural relaxation, from Alexandria via LeMat-Bulk.

- Raw formation energy: -30 kJ/mol of formula units
- Theoretical density: 5.98 g cm⁻³
- Final energy: -0.197 Ha/atom
- Magnetization: 0.876 μB per atom

Structure (CIF):
```
data_La2CrBr
_cell_length_a 7.692
_cell_length_b 7.692
_cell_length_c 7.692
_cell_angle_alpha 90.00
_cell_angle_beta 90.00
_cell_angle_gamma 90.00
_space_group_name_H-M_alt 'F m -3 m'
_space_group_IT_number 225
_space_group_name_Hall '-F 4 2 3'
loop_
_atom_site_label
_atom_site_type_symbol
_atom_site_fract_x
_atom_site_fract_y
_atom_site_fract_z
La1 La 0.250 0.250 0.250
Cr1 Cr 0.000 0.000 0.000
Br1 Br 0.000 0.000 0.500
```

The following is a PBE-GGA calculation of Ca4Ni3AgH12 after structural relaxation, from Alexandria via LeMat-Bulk.

- Theoretical density: 4.03 g cm⁻³
- Final energy: -0.141 Ha/atom
- Magnetization: 0.000 μB per atom

Structure (CIF):
```
data_Ca4Ni3AgH12
_cell_length_a 7.220
_cell_length_b 7.220
_cell_length_c 7.220
_cell_angle_alpha 90.00
_cell_angle_beta 90.00
_cell_angle_gamma 90.00
_space_group_name_H-M_alt 'I m -3 m'
_space_group_IT_number 229
_space_group_name_Hall '-I 4 2 3'
loop_
_atom_site_label
_atom_site_type_symbol
_atom_site_fract_x
_atom_site_fract_y
_atom_site_fract_z
Ca1 Ca 0.250 0.250 0.250
Ni1 Ni 0.000 0.000 0.500
Ag1 Ag 0.000 0.000 0.000
H1 H 0.000 0.000 0.275
H2 H 0.000 0.250 0.500
```

The following is a PBE-GGA calculation of CePm2Cu2Si2 after structural relaxation, from Alexandria via LeMat-Bulk.

- Raw formation energy: -306 kJ/mol of formula units
- Theoretical density: 6.29 g cm⁻³
- Final energy: -0.198 Ha/atom
- Magnetization: 0.285 μB per atom

Structure (CIF):
```
data_CePm2Cu2Si2
_cell_length_a 4.1074
_cell_length_b 4.1074
_cell_length_c 33.2337
_cell_angle_alpha 90.00
_cell_angle_beta 90.00
_cell_angle_gamma 120.00
_space_group_name_H-M_alt 'R -3 m'
_space_group_IT_number 166
_space_group_name_Hall '-R 3 2"'
loop_
_atom_site_label
_atom_site_type_symbol
_atom_site_fract_x
_atom_site_fract_y
_atom_site_fract_z
Ce1 Ce 0.0000 0.0000 0.0000
Pm1 Pm 0.0000 0.0000 0.1200
Cu1 Cu 0.0000 0.0000 0.3934
Si1 Si 0.0000 0.0000 0.2721
```